# ErThPa2Ir4

An optimized crystal structure of ErThPa2Ir4 (PBE-GGA, Alexandria).

Summary:
**E**: -9.158 eV per atom
**Formation energy**: -0.86 eV/atom
**Space-group type**: No. 42
**Magnetic moment**: 0.0000 μB/atom
**Crystal system**: orthorhombic

```
ErThPa2Ir4
1.0
0.000 5.591 4.190
3.848 0.000 4.190
3.848 5.591 0.000
Er Th Pa Ir
1 1 2 4
Cartesian
0.000 0.000 0.000
3.848 5.591 4.842
1.924 2.795 2.877
5.772 8.386 7.066
5.391 5.591 2.464
3.848 2.663 4.990
2.305 5.591 2.464
3.848 8.518 4.990
```